# 1
## ZrCr2 (PBE)

Data for a relaxed ZrCr2 crystal.

a b c (Å): 4.6262 4.6262 5.1002
angles (deg): 90.00 90.00 120.00
Space group P6_3/mmc (No. 194)
Unique sites:
Zr1 0.3333 0.6667 0.2500 x2
Cr1 0.0000 0.0000 0.0000 x2
Cr2 0.3333 0.6667 0.7500 x2

Computed properties:
The formation energy comes out at 0.49 eV/atom.

---

# 2
## ZrCr2 (PBE)

Data for a relaxed ZrCr2 crystal.

a b c (Å): 3.987 3.987 24.882
angles (deg): 90.00 90.00 90.00
Space group I4_1/amd (No. 141, origin choice 2)
Unique sites:
Zr1 0.000 0.250 0.299 x8
Cr1 0.000 0.250 0.125 x8
Cr2 0.000 0.250 0.797 x8

Computed properties:
The formation energy comes out at 0.51 eV/atom.

---

# 3
## ZrCr2 (PBE)

Data for a relaxed ZrCr2 crystal.

a b c (Å): 4.617 12.952 3.047
angles (deg): 90.00 90.00 90.00
Space group Cmcm (No. 63)
Unique sites:
Zr1 0.000 0.098 0.250 x4
Cr1 0.000 0.268 0.750 x4
Cr2 0.000 0.412 0.250 x4

Computed properties:
The formation energy comes out at 0.33 eV/atom.

---

Number 1: mass density 6.86 g/cm³, spin magnetization 1.4 μB per cell. Number 2: mass density 6.56 g/cm³, spin magnetization 36.8 μB per cell. Number 3: mass density 7.12 g/cm³, spin magnetization 0.0 μB per cell.